# 1
# BaLaRhSe2

A geometry-optimized BaLaRhSe2 structure (PBE, Alexandria via LeMat-Bulk).

* space-group type: P4/mmm, No. 123
* E_form (uncorrected): 0.963 eV/atom
* total magnetization: 1.051 μB per formula unit

a b c (Å): 5.7374 6.6493 5.7374
angles (deg): 90.00 90.00 90.00
Last column: nearest neighbours and their distance in Å.
Element x y z (fractional)
Se: 0.5000 0.0000 0.0000  2 Ba 2.87
Se: 0.0000 0.0000 0.5000  2 Ba 2.87
Rh: 0.5000 0.5000 0.5000  4 La 4.06, 8 Se 4.39
La: 0.0000 0.5000 0.0000  2 Ba 3.32
Ba: 0.0000 0.0000 0.0000  4 Se 2.87

***

# 2
# ThPaP

A geometry-optimized ThPaP structure (PBE, Alexandria via LeMat-Bulk).

* space-group type: P3m1, No. 156
* formation energy from the elements: -0.555 eV/atom
* total magnetization: 0.001 μB per formula unit

a b c (Å): 6.5665 3.7690 3.7690
angles (deg): 120.00 90.00 90.00
Last column: nearest neighbours and their distance in Å.
Element x y z (fractional)
Pa: 0.0677 0.0000 0.0000  3 P 2.76
Th: 0.6068 0.6667 0.3333  3 P 2.85
P: 0.3255 0.3333 0.6667  3 Pa 2.76, 3 Th 2.85

***

# 3
# Ca2MoOs

A geometry-optimized Ca2MoOs structure (PBE, Alexandria via LeMat-Bulk).

* space-group type: Imm2, No. 44
* formation energy from the elements: 0.401 eV/atom
* total magnetization: 0.000 μB per formula unit

a b c (Å): 5.8872 5.8872 5.8872
angles (deg): 143.57 127.62 65.48
Last column: nearest neighbours and their distance in Å.
Element x y z (fractional)
Ca: 0.7405 0.2405 0.5000  4 Os 3.22, 4 Mo 3.30-3.45, 4 Ca 3.34-3.38
Ca: 0.0223 0.0223 0.0000  4 Os 3.24-3.46, 4 Mo 3.27, 4 Ca 3.34-3.38
Os: 0.2919 0.7919 0.5000  2 Mo 2.39
Mo: 0.4453 0.4453 0.0000  2 Os 2.39

***

# 4
# Fe2Sn2Au

A geometry-optimized Fe2Sn2Au structure (PBE, Alexandria via LeMat-Bulk).

* space-group type: P4/mbm, No. 127
* formation energy from the elements: 0.143 eV/atom
* total magnetization: 4.198 μB per formula unit

a b c (Å): 7.0239 7.0239 3.5585
angles (deg): 90.00 90.00 90.00
Last column: nearest neighbours and their distance in Å.
Element x y z (fractional)
Fe: 0.3787 0.8787 0.0000  1 Fe 2.41
Fe: 0.8787 0.6213 0.0000  1 Fe 2.41
Fe: 0.6213 0.1213 0.0000  1 Fe 2.41
Fe: 0.1213 0.3787 0.0000  1 Fe 2.41
Sn: 0.6726 0.8274 0.5000  6 Fe 2.71-2.75
Sn: 0.3274 0.1726 0.5000  6 Fe 2.71-2.75
Sn: 0.1726 0.6726 0.5000  6 Fe 2.71-2.75
Sn: 0.8274 0.3274 0.5000  6 Fe 2.71-2.75
Au: 0.0000 0.0000 0.0000  4 Fe 2.79
Au: 0.5000 0.5000 0.0000  4 Fe 2.79

***

# 5
# TlAgP

A geometry-optimized TlAgP structure (PBE, Alexandria via LeMat-Bulk).

* space-group type: P-6m2, No. 187
* formation energy from the elements: 0.220 eV/atom
* total magnetization: 0.000 μB per formula unit

a b c (Å): 4.2686 4.2686 4.5943
angles (deg): 90.00 90.00 120.00
Last column: nearest neighbours and their distance in Å.
Element x y z (fractional)
P: 0.3333 0.6667 0.1673  3 Ag 2.46
Tl: 0.6667 0.3333 0.6663  6 P 3.37, 6 Ag 3.37
Ag: 0.0000 0.0000 0.1664  3 P 2.46

***

# 6
# Zn4GaAg7

A geometry-optimized Zn4GaAg7 structure (PBE, Alexandria via LeMat-Bulk).

* space-group type: C2/m, No. 12
* formation energy from the elements: 0.137 eV/atom
* total magnetization: 0.000 μB per formula unit

a b c (Å): 4.7859 7.8999 6.6725
angles (deg): 80.46 68.98 72.37
Last column: nearest neighbours and their distance in Å.
Element x y z (fractional)
Zn: 0.5747 0.2139 0.6368  7 Ag 2.60-2.80, 1 Zn 2.82
Zn: 0.4253 0.7861 0.3632  7 Ag 2.60-2.80, 1 Zn 2.82
Zn: 0.3024 0.3435 0.0516  8 Ag 2.62-2.89, 1 Zn 2.82
Zn: 0.6976 0.6565 0.9484  8 Ag 2.62-2.89, 1 Zn 2.82
Ag: 0.7834 0.8580 0.5753  4 Zn 2.69-2.80, 2 Ag 2.81-2.92
Ag: 0.6565 0.4093 0.2778  4 Zn 2.60-2.84
Ag: 0.9334 0.3423 0.7909  5 Zn 2.62-2.89, 1 Ga 2.81, 1 Ag 2.81
Ag: 0.5000 0.0000 0.0000  2 Ga 2.39, 2 Zn 2.63
Ag: 0.0666 0.6577 0.2091  5 Zn 2.62-2.89, 1 Ga 2.81, 1 Ag 2.81
Ag: 0.2166 0.1420 0.4247  4 Zn 2.69-2.80, 2 Ag 2.81-2.92
Ag: 0.3435 0.5907 0.7222  4 Zn 2.60-2.84
Ga: 0.0000 0.0000 0.0000  2 Ag 2.39